Material: BaHg2Pb2
Method: DFT, PBE
State: relaxed

Cell lengths 7.4259, 7.4259, 7.4259 Å; angles 140.58, 140.58, 56.98 degrees
Closest atoms and distances in Å follow each position.
Fractional coordinates of all 5 atoms:
Ba (0.0000, 0.0000, 0.0000)  8 Hg 3.81, 8 Pb 4.11
Hg (0.3923, 0.3923, 0.0000)  1 Hg 2.81, 4 Pb 3.12
Hg (0.6077, 0.6077, 0.0000)  1 Hg 2.81, 4 Pb 3.12
Pb (0.2500, 0.7500, 0.5000)  4 Hg 3.12
Pb (0.7500, 0.2500, 0.5000)  4 Hg 3.12

Computed properties:
- E_form: -166.6 kJ/mol of formula units
- Energy: -2.334 eV per atom



Material: Ba3Hg2Pb
Method: DFT, PBE
State: relaxed

Cell lengths 4.1777, 4.1777, 13.1440 Å; angles 90.00, 90.00, 90.00 degrees
Closest atoms and distances in Å follow each position.
Fractional coordinates of all 6 atoms:
Ba (0.0000, 0.0000, 0.0000)  8 Hg 3.64
Ba (0.0000, 0.0000, 0.3258)  4 Hg 3.65, 4 Pb 3.74
Ba (0.0000, 0.0000, 0.6742)  4 Hg 3.65, 4 Pb 3.74
Hg (0.5000, 0.5000, 0.1624)  8 Ba 3.64-3.65
Hg (0.5000, 0.5000, 0.8376)  8 Ba 3.64-3.65
Pb (0.5000, 0.5000, 0.5000)  8 Ba 3.74, 4 Pb 4.18

Computed properties:
- Offset from the most stable computed form: 0.020 eV per atom
- E_form: -300.6 kJ/mol of formula units
- Energy: -2.199 eV per atom



Material: Ba3Hg7Pb
Method: DFT, PBE
State: relaxed

Cell lengths 12.3814, 12.3814, 11.8030 Å; angles 90.00, 90.00, 156.10 degrees
Closest atoms and distances in Å follow each position.
Fractional coordinates of all 22 atoms:
Ba (0.0827, 0.9173, 0.5579)  9 Hg 3.45-3.74, 1 Pb 3.65
Ba (0.0827, 0.9173, 0.9421)  9 Hg 3.45-3.74, 1 Pb 3.65
Ba (0.2279, 0.7721, 0.2500)  11 Hg 3.51-3.73, 1 Pb 3.91
Ba (0.7721, 0.2279, 0.7500)  11 Hg 3.51-3.73, 1 Pb 3.91
Ba (0.9173, 0.0827, 0.0579)  9 Hg 3.45-3.74, 1 Pb 3.65
Ba (0.9173, 0.0827, 0.4421)  9 Hg 3.45-3.74, 1 Pb 3.65
Hg (0.2249, 0.7751, 0.5662)  3 Hg 3.19-3.24, 3 Ba 3.45-3.55
Hg (0.2249, 0.7751, 0.9338)  3 Hg 3.19-3.24, 3 Ba 3.45-3.55
Hg (0.3544, 0.6456, 0.6165)  3 Hg 3.15-3.21
Hg (0.3544, 0.6456, 0.8835)  3 Hg 3.15-3.21
Hg (0.3729, 0.6271, 0.2500)  5 Ba 3.51-3.59, 2 Hg 3.71
Hg (0.4870, 0.5130, 0.6237)  3 Hg 2.98-3.21, 2 Pb 3.24
Hg (0.4870, 0.5130, 0.8763)  3 Hg 2.98-3.21, 2 Pb 3.24
Hg (0.5130, 0.4870, 0.1237)  3 Hg 2.98-3.21, 2 Pb 3.24
Hg (0.5130, 0.4870, 0.3763)  3 Hg 2.98-3.21, 2 Pb 3.24
Hg (0.6271, 0.3729, 0.7500)  5 Ba 3.51-3.59, 2 Hg 3.71
Hg (0.6456, 0.3544, 0.1165)  3 Hg 3.15-3.21
Hg (0.6456, 0.3544, 0.3835)  3 Hg 3.15-3.21
Hg (0.7751, 0.2249, 0.0662)  3 Hg 3.19-3.24, 3 Ba 3.45-3.55
Hg (0.7751, 0.2249, 0.4338)  3 Hg 3.19-3.24, 3 Ba 3.45-3.55
Pb (0.0665, 0.9335, 0.2500)  8 Hg 3.24-3.57
Pb (0.9335, 0.0665, 0.7500)  8 Hg 3.24-3.57

Computed properties:
- E_form: -415.1 kJ/mol of formula units
- Energy: -1.445 eV per atom



Material: Ba2HgPb
Method: DFT, PBE
State: relaxed

Cell lengths 6.0450, 6.0450, 6.0450 Å; angles 60.00, 60.00, 60.00 degrees
Closest atoms and distances in Å follow each position.
Fractional coordinates of all 4 atoms:
Ba (0.2500, 0.2500, 0.2500)  4 Hg 3.70, 4 Pb 3.70
Ba (0.7500, 0.7500, 0.7500)  4 Hg 3.70, 4 Pb 3.70
Hg (0.0000, 0.0000, 0.0000)  8 Ba 3.70
Pb (0.5000, 0.5000, 0.5000)  8 Ba 3.70

Computed properties:
- Offset from the most stable computed form: 0.000 eV per atom
- E_form: -229.3 kJ/mol of formula units
- Energy: -2.558 eV per atom



Material: BaHg11Pb
Method: DFT, PBE
State: relaxed

Cell lengths 8.1161, 8.1161, 8.2148 Å; angles 99.28, 99.28, 131.73 degrees
Closest atoms and distances in Å follow each position.
Fractional coordinates of all 13 atoms:
Ba (0.0000, 0.0000, 0.0000)  18 Hg 3.74-4.11, 2 Pb 4.14
Hg (0.0000, 0.0000, 0.5000)  8 Hg 3.14-3.34, 2 Pb 3.32
Hg (0.0000, 0.5000, 0.0000)  10 Hg 3.05-3.33
Hg (0.0016, 0.3594, 0.3501)  5 Hg 3.09-3.35, 1 Pb 3.31
Hg (0.2734, 0.4869, 0.7926)  6 Hg 3.05-3.35, 1 Pb 3.23
Hg (0.3594, 0.0016, 0.3501)  5 Hg 3.09-3.35, 1 Pb 3.31
Hg (0.4869, 0.2734, 0.7926)  6 Hg 3.05-3.35, 1 Pb 3.23
Hg (0.5000, 0.0000, 0.0000)  10 Hg 3.05-3.33
Hg (0.5131, 0.7266, 0.2074)  6 Hg 3.05-3.35, 1 Pb 3.23
Hg (0.6406, 0.9984, 0.6499)  5 Hg 3.09-3.35, 1 Pb 3.31
Hg (0.7266, 0.5131, 0.2074)  6 Hg 3.05-3.35, 1 Pb 3.23
Hg (0.9984, 0.6406, 0.6499)  5 Hg 3.09-3.35, 1 Pb 3.31
Pb (0.5000, 0.5000, 0.5000)  10 Hg 3.23-3.32

Computed properties:
- E_form: -132.5 kJ/mol of formula units
- Energy: -0.794 eV per atom



Material: BaHgPb4
Method: DFT, PBE
State: relaxed

Cell lengths 11.4671, 11.0482, 6.2987 Å; angles 77.45, 70.13, 32.42 degrees
Closest atoms and distances in Å follow each position.
Fractional coordinates of all 12 atoms:
Ba (0.2369, 0.7631, 0.2369)  10 Pb 3.57-3.82, 2 Ba 3.90
Ba (0.7631, 0.2369, 0.7631)  10 Pb 3.57-3.82, 2 Ba 3.90
Hg (0.0000, 0.5000, 0.0000)  2 Pb 3.06
Hg (0.5000, 0.0000, 0.5000)  2 Pb 3.06
Pb (0.0655, 0.5894, 0.4106)  5 Pb 3.21-3.50, 2 Hg 3.45, 1 Ba 3.57
Pb (0.1728, 0.6222, 0.8272)  1 Hg 3.06
Pb (0.3778, 0.8272, 0.6222)  1 Hg 3.06
Pb (0.4106, 0.9345, 0.0655)  5 Pb 3.21-3.50, 2 Hg 3.45, 1 Ba 3.57
Pb (0.5894, 0.0655, 0.9345)  5 Pb 3.21-3.50, 2 Hg 3.45, 1 Ba 3.57
Pb (0.6222, 0.1728, 0.3778)  1 Hg 3.06
Pb (0.8272, 0.3778, 0.1728)  1 Hg 3.06
Pb (0.9345, 0.4106, 0.5894)  5 Pb 3.21-3.50, 2 Hg 3.45, 1 Ba 3.57

Computed properties:
- Offset from the most stable computed form: 0.051 eV per atom
- E_form: -90.8 kJ/mol of formula units
- Energy: -3.000 eV per atom



Material: BaHg2Pb10
Method: DFT, PBE
State: relaxed

Cell lengths 11.4563, 8.8757, 8.5619 Å; angles 82.12, 50.12, 47.76 degrees
Closest atoms and distances in Å follow each position.
Fractional coordinates of all 13 atoms:
Ba (0.0000, 0.0000, 0.0000)  16 Pb 4.06-4.28, 4 Hg 4.44
Hg (0.0000, 0.5000, 0.0000)  2 Hg 3.23, 8 Pb 3.27-3.46
Hg (0.5000, 0.0000, 0.5000)  2 Hg 3.23, 8 Pb 3.27-3.46
Pb (0.0000, 0.0000, 0.5000)  10 Pb 3.23-3.54
Pb (0.0005, 0.6452, 0.3548)  7 Pb 3.33-3.66, 2 Hg 3.46
Pb (0.2807, 0.4946, 0.5054)  2 Hg 3.27, 7 Pb 3.35-3.66
Pb (0.3548, 0.9995, 0.0005)  7 Pb 3.33-3.66, 2 Hg 3.46
Pb (0.4946, 0.2807, 0.7193)  2 Hg 3.27, 7 Pb 3.35-3.66
Pb (0.5000, 0.5000, 0.0000)  10 Pb 3.23-3.54
Pb (0.5054, 0.7193, 0.2807)  2 Hg 3.27, 7 Pb 3.35-3.66
Pb (0.6452, 0.0005, 0.9995)  7 Pb 3.33-3.66, 2 Hg 3.46
Pb (0.7193, 0.5054, 0.4946)  2 Hg 3.27, 7 Pb 3.35-3.66
Pb (0.9995, 0.3548, 0.6452)  7 Pb 3.33-3.66, 2 Hg 3.46

Computed properties:
- E_form: -118.2 kJ/mol of formula units
- Energy: -3.141 eV per atom



Material: Ba2HgPb
Method: DFT, PBE
State: relaxed

Cell lengths 7.1412, 7.1412, 7.1412 Å; angles 144.27, 133.60, 59.91 degrees
Closest atoms and distances in Å follow each position.
Fractional coordinates of all 4 atoms:
Ba (0.0000, 0.0000, 0.0000)  4 Pb 3.68, 2 Hg 3.72, 2 Ba 3.82
Ba (0.7088, 0.2088, 0.5000)  4 Hg 3.59, 2 Ba 3.82, 2 Pb 3.89
Hg (0.2426, 0.7426, 0.5000)  2 Pb 3.16
Pb (0.4261, 0.4261, 0.0000)  2 Hg 3.16

Computed properties:
- Offset from the most stable computed form: 0.147 eV per atom
- E_form: -172.7 kJ/mol of formula units
- Energy: -2.411 eV per atom



Material: Ba3Hg2Pb4
Method: DFT, PBE
State: relaxed

Cell lengths 6.8747, 6.8747, 10.0020 Å; angles 101.35, 101.35, 44.93 degrees
Closest atoms and distances in Å follow each position.
Fractional coordinates of all 9 atoms:
Ba (0.0000, 0.0000, 0.0000)  8 Pb 3.62-3.97
Ba (0.3686, 0.3686, 0.3100)  3 Hg 3.50-3.54, 3 Pb 3.61-3.66
Ba (0.6314, 0.6314, 0.6900)  3 Hg 3.50-3.54, 3 Pb 3.61-3.66
Hg (0.3033, 0.3033, 0.6322)  4 Pb 3.10-3.38
Hg (0.6967, 0.6967, 0.3678)  4 Pb 3.10-3.38
Pb (0.0727, 0.0727, 0.3903)  3 Hg 3.10-3.38, 1 Pb 3.15
Pb (0.2994, 0.2994, 0.9407)  1 Hg 3.10, 2 Pb 3.24
Pb (0.7006, 0.7006, 0.0593)  1 Hg 3.10, 2 Pb 3.24
Pb (0.9273, 0.9273, 0.6097)  3 Hg 3.10-3.38, 1 Pb 3.15

Computed properties:
- Offset from the most stable computed form: 0.000 eV per atom
- E_form: -407.9 kJ/mol of formula units
- Energy: -2.826 eV per atom



Material: Ba2HgPb3
Method: DFT, PBE
State: relaxed

Cell lengths 6.8973, 6.8973, 8.3267 Å; angles 125.44, 125.44, 44.29 degrees
Closest atoms and distances in Å follow each position.
Fractional coordinates of all 6 atoms:
Ba (0.0000, 0.0000, 0.0000)  3 Hg 3.65-4.05, 7 Pb 3.69-3.86
Ba (0.1048, 0.1048, 0.6008)  7 Pb 3.57-3.84, 2 Hg 3.87
Hg (0.7096, 0.7096, 0.3805)  4 Pb 3.10-3.34
Pb (0.3753, 0.3753, 0.5798)  2 Hg 3.10, 2 Pb 3.17-3.41
Pb (0.3960, 0.3960, 0.2193)  3 Pb 3.17-3.23, 1 Hg 3.34
Pb (0.7084, 0.7084, 0.9921)  1 Hg 3.22, 3 Pb 3.23-3.41

Computed properties:
- Offset from the most stable computed form: 0.000 eV per atom
- E_form: -262.9 kJ/mol of formula units
- Energy: -3.000 eV per atom



Material: BaHg4Pb4
Method: DFT, PBE
State: relaxed

Cell lengths 8.1000, 8.1000, 8.1000 Å; angles 94.59, 94.59, 147.15 degrees
Closest atoms and distances in Å follow each position.
Fractional coordinates of all 9 atoms:
Ba (0.0000, 0.0000, 0.0000)  8 Hg 3.57, 4 Pb 3.76
Hg (0.3241, 0.3241, 0.6482)  2 Hg 3.25, 6 Pb 3.51-3.57, 2 Ba 3.57
Hg (0.3241, 0.6759, 0.0000)  2 Hg 3.25, 6 Pb 3.51-3.57, 2 Ba 3.57
Hg (0.6759, 0.3241, 0.0000)  2 Hg 3.25, 6 Pb 3.51-3.57, 2 Ba 3.57
Hg (0.6759, 0.6759, 0.3518)  2 Hg 3.25, 6 Pb 3.51-3.57, 2 Ba 3.57
Pb (0.0000, 0.3418, 0.3418)  5 Pb 3.36-3.48, 6 Hg 3.51-3.57, 1 Ba 3.76
Pb (0.0000, 0.6582, 0.6582)  5 Pb 3.36-3.48, 6 Hg 3.51-3.57, 1 Ba 3.76
Pb (0.3418, 0.0000, 0.3418)  5 Pb 3.36-3.48, 6 Hg 3.51-3.57, 1 Ba 3.76
Pb (0.6582, 0.0000, 0.6582)  5 Pb 3.36-3.48, 6 Hg 3.51-3.57, 1 Ba 3.76

Computed properties:
- Offset from the most stable computed form: 0.000 eV per atom
- E_form: -143.1 kJ/mol of formula units
- Energy: -2.161 eV per atom



Material: Ba3Hg3Pb2
Method: DFT, PBE
State: relaxed

Cell lengths 6.8175, 6.8175, 17.7559 Å; angles 90.00, 90.00, 135.76 degrees
Closest atoms and distances in Å follow each position.
Fractional coordinates of all 16 atoms:
Ba (0.0888, 0.9112, 0.6009)  7 Hg 3.53-3.92, 4 Pb 3.65-3.93
Ba (0.0888, 0.9112, 0.8991)  7 Hg 3.53-3.92, 4 Pb 3.65-3.93
Ba (0.3661, 0.6339, 0.7500)  5 Hg 3.50-3.83, 4 Pb 3.76
Ba (0.6339, 0.3661, 0.2500)  5 Hg 3.50-3.83, 4 Pb 3.76
Ba (0.9112, 0.0888, 0.1009)  7 Hg 3.53-3.92, 4 Pb 3.65-3.93
Ba (0.9112, 0.0888, 0.3991)  7 Hg 3.53-3.92, 4 Pb 3.65-3.93
Hg (0.3567, 0.6433, 0.2500)  2 Pb 3.21, 1 Ba 3.50
Hg (0.3847, 0.6153, 0.5345)  3 Pb 3.07-3.34, 1 Hg 3.16
Hg (0.3847, 0.6153, 0.9655)  3 Pb 3.07-3.34, 1 Hg 3.16
Hg (0.6153, 0.3847, 0.0345)  3 Pb 3.07-3.34, 1 Hg 3.16
Hg (0.6153, 0.3847, 0.4655)  3 Pb 3.07-3.34, 1 Hg 3.16
Hg (0.6433, 0.3567, 0.7500)  2 Pb 3.21, 1 Ba 3.50
Pb (0.2061, 0.7939, 0.1044)  4 Hg 3.07-3.34
Pb (0.2061, 0.7939, 0.3956)  4 Hg 3.07-3.34
Pb (0.7939, 0.2061, 0.6044)  4 Hg 3.07-3.34
Pb (0.7939, 0.2061, 0.8956)  4 Hg 3.07-3.34

Computed properties:
- E_form: -386.3 kJ/mol of formula units
- Energy: -2.262 eV per atom



Material: BaHgPb
Method: DFT, PBE
State: relaxed

Cell lengths 5.6315, 5.6315, 5.6315 Å; angles 60.00, 60.00, 60.00 degrees
Closest atoms and distances in Å follow each position.
Fractional coordinates of all 3 atoms:
Ba (0.0000, 0.0000, 0.0000)  4 Pb 3.45, 4 Hg 3.45
Hg (0.2500, 0.2500, 0.2500)  4 Ba 3.45
Pb (0.7500, 0.7500, 0.7500)  4 Ba 3.45

Computed properties:
- E_form: -14.9 kJ/mol of formula units
- Energy: -2.029 eV per atom



Material: BaHg2Pb2
Method: DFT, PBE
State: relaxed

Cell lengths 8.9414, 8.9414, 3.9743 Å; angles 90.00, 90.00, 90.00 degrees
Closest atoms and distances in Å follow each position.
Fractional coordinates of all 10 atoms:
Ba (0.0000, 0.0000, 0.0000)  4 Hg 3.55, 8 Pb 3.86
Ba (0.5000, 0.5000, 0.0000)  4 Hg 3.55, 8 Pb 3.86
Hg (0.1227, 0.3773, 0.0000)  1 Hg 3.10, 6 Pb 3.25-3.34
Hg (0.3773, 0.8773, 0.0000)  1 Hg 3.10, 6 Pb 3.25-3.34
Hg (0.6227, 0.1227, 0.0000)  1 Hg 3.10, 6 Pb 3.25-3.34
Hg (0.8773, 0.6227, 0.0000)  1 Hg 3.10, 6 Pb 3.25-3.34
Pb (0.1738, 0.6738, 0.5000)  6 Hg 3.25-3.34
Pb (0.3262, 0.1738, 0.5000)  6 Hg 3.25-3.34
Pb (0.6738, 0.8262, 0.5000)  6 Hg 3.25-3.34
Pb (0.8262, 0.3262, 0.5000)  6 Hg 3.25-3.34

Computed properties:
- E_form: -109.7 kJ/mol of formula units
- Energy: -2.216 eV per atom